# NiGeAsF2 (PBE+U, relaxed)
data_NiGeAsF2
_chemical_formula_sum 'Ni1 Ge1 As1 F2'
_space_group_name_H-M_alt 'P 4/m m m'
_space_group_IT_number 123
_space_group_name_Hall '-P 4 2'
_cell_length_a 4.0338
_cell_length_b 4.0338
_cell_length_c 5.0928
_cell_angle_alpha 90.00
_cell_angle_beta 90.00
_cell_angle_gamma 90.00
loop_
_atom_site_label
_atom_site_type_symbol
_atom_site_fract_x
_atom_site_fract_y
_atom_site_fract_z
Ni1 Ni 0.0000 0.0000 0.0000
Ge1 Ge 0.5000 0.5000 0.0000
As1 As 0.0000 0.0000 0.5000
F1 F 0.0000 0.5000 0.5000
# DOS(E_F) ... 0.33 states/eV per atom
# Electronic total energy ... -3.57 eV per atom
# M_tot ... 0.59 μB/f.u.